# CaNbCu2S PBEsol optimized geometry
# Calculated volume in Å³ per cell: 107
# Formation energy (no corrections) in eV per atom: 0.101
data_CaNbCu2S
_chemical_formula_sum 'Ca1 Nb1 Cu2 S1'
_cell_length_a 4.785
_cell_length_b 4.785
_cell_length_c 4.663
_cell_angle_alpha 90.00
_cell_angle_beta 90.00
_cell_angle_gamma 90.00
_symmetry_space_group_name_H-M 'P 4/m m m'
_symmetry_Int_Tables_number 123
_symmetry_space_group_name_Hall '-P 4 2'
loop_
_atom_site_label
_atom_site_type_symbol
_atom_site_fract_x
_atom_site_fract_y
_atom_site_fract_z
_atom_site_occupancy
Ca1 Ca 0.000 0.000 0.000 1
Nb1 Nb 0.500 0.500 0.500 1
Cu1 Cu 0.000 0.500 0.500 1
S1 S 0.500 0.500 0.000 1

# CuReSb2 PBEsol optimized geometry
# Calculated volume in Å³ per cell: 141
# Formation energy (no corrections) in eV per atom: 0.534
data_CuReSb2
_chemical_formula_sum 'Cu2 Re2 Sb4'
_cell_length_a 4.480
_cell_length_b 4.480
_cell_length_c 7.031
_cell_angle_alpha 90.00
_cell_angle_beta 90.00
_cell_angle_gamma 90.00
_symmetry_space_group_name_H-M 'I 4/m m m'
_symmetry_Int_Tables_number 139
_symmetry_space_group_name_Hall '-I 4 2'
loop_
_atom_site_label
_atom_site_type_symbol
_atom_site_fract_x
_atom_site_fract_y
_atom_site_fract_z
_atom_site_occupancy
Cu1 Cu 0.000 0.000 0.000 1
Re1 Re 0.000 0.000 0.500 1
Sb1 Sb 0.000 0.500 0.250 1

# Ba3Au PBEsol optimized geometry
# Calculated volume in Å³ per cell: 610
# Calculated formation energy in eV per atom: -0.309
data_Ba3Au
_chemical_formula_sum 'Ba9 Au3'
_cell_length_a 4.6116
_cell_length_b 4.6116
_cell_length_c 33.1375
_cell_angle_alpha 90.00
_cell_angle_beta 90.00
_cell_angle_gamma 120.00
_symmetry_space_group_name_H-M 'R -3 m'
_symmetry_Int_Tables_number 166
_symmetry_space_group_name_Hall '-R 3 2"'
loop_
_atom_site_label
_atom_site_type_symbol
_atom_site_fract_x
_atom_site_fract_y
_atom_site_fract_z
_atom_site_occupancy
Ba1 Ba 0.0000 0.0000 0.0000 1
Ba2 Ba 0.0000 0.0000 0.2205 1
Au1 Au 0.0000 0.0000 0.5000 1

# MgSc2Be PBEsol optimized geometry
# Calculated volume in Å³ per cell: 76
# Calculated formation energy in eV per atom: -0.054
data_MgSc2Be
_chemical_formula_sum 'Mg1 Sc2 Be1'
_cell_length_a 3.173
_cell_length_b 3.173
_cell_length_c 7.561
_cell_angle_alpha 90.00
_cell_angle_beta 90.00
_cell_angle_gamma 90.00
_symmetry_space_group_name_H-M 'P 4/m m m'
_symmetry_Int_Tables_number 123
_symmetry_space_group_name_Hall '-P 4 2'
loop_
_atom_site_label
_atom_site_type_symbol
_atom_site_fract_x
_atom_site_fract_y
_atom_site_fract_z
_atom_site_occupancy
Mg1 Mg 0.000 0.000 0.000 1
Sc1 Sc 0.500 0.500 0.301 1
Be1 Be 0.000 0.000 0.500 1

# YTeMo2 PBEsol optimized geometry
# Calculated volume in Å³ per cell: 151
# Formation energy (no corrections) in eV per atom: 0.300
data_YTeMo2
_chemical_formula_sum 'Y2 Te2 Mo4'
_cell_length_a 4.370
_cell_length_b 4.370
_cell_length_c 7.921
_cell_angle_alpha 90.00
_cell_angle_beta 90.00
_cell_angle_gamma 90.00
_symmetry_space_group_name_H-M 'I -4 m 2'
_symmetry_Int_Tables_number 119
_symmetry_space_group_name_Hall 'I -4 -2'
loop_
_atom_site_label
_atom_site_type_symbol
_atom_site_fract_x
_atom_site_fract_y
_atom_site_fract_z
_atom_site_occupancy
Y1 Y 0.000 0.000 0.000 1
Te1 Te 0.000 0.500 0.750 1
Mo1 Mo 0.000 0.000 0.500 1
Mo2 Mo 0.000 0.500 0.250 1

# CuTeAs2 PBEsol optimized geometry
# Calculated volume in Å³ per cell: 80
# Formation energy (no corrections) in eV per atom: 0.246
data_CuTeAs2
_chemical_formula_sum 'Cu1 Te1 As2'
_cell_length_a 3.007
_cell_length_b 3.007
_cell_length_c 8.813
_cell_angle_alpha 90.00
_cell_angle_beta 90.00
_cell_angle_gamma 90.00
_symmetry_space_group_name_H-M 'P 4/m m m'
_symmetry_Int_Tables_number 123
_symmetry_space_group_name_Hall '-P 4 2'
loop_
_atom_site_label
_atom_site_type_symbol
_atom_site_fract_x
_atom_site_fract_y
_atom_site_fract_z
_atom_site_occupancy
Cu1 Cu 0.000 0.000 0.000 1
Te1 Te 0.000 0.000 0.500 1
As1 As 0.500 0.500 0.169 1

# LaCrBr2 PBEsol optimized geometry
# Calculated volume in Å³ per cell: 332
# Formation energy (no corrections) in eV per atom: -0.528
data_LaCrBr2
_chemical_formula_sum 'La3 Cr3 Br6'
_cell_length_a 3.7024
_cell_length_b 3.7024
_cell_length_c 27.9994
_cell_angle_alpha 90.00
_cell_angle_beta 90.00
_cell_angle_gamma 120.00
_symmetry_space_group_name_H-M 'R -3 m'
_symmetry_Int_Tables_number 166
_symmetry_space_group_name_Hall '-R 3 2"'
loop_
_atom_site_label
_atom_site_type_symbol
_atom_site_fract_x
_atom_site_fract_y
_atom_site_fract_z
_atom_site_occupancy
La1 La 0.0000 0.0000 0.0000 1
Cr1 Cr 0.0000 0.0000 0.5000 1
Br1 Br 0.0000 0.0000 0.4106 1

# BeMoIr2 PBEsol optimized geometry
# Calculated volume in Å³ per cell: 108
# Calculated formation energy in eV per atom: 0.086
data_BeMoIr2
_chemical_formula_sum 'Be2 Mo2 Ir4'
_cell_length_a 5.319
_cell_length_b 8.447
_cell_length_c 2.688
_cell_angle_alpha 90.00
_cell_angle_beta 116.33
_cell_angle_gamma 90.00
_symmetry_space_group_name_H-M 'C 1 2/m 1'
_symmetry_Int_Tables_number 12
_symmetry_space_group_name_Hall '-C 2y'
loop_
_atom_site_label
_atom_site_type_symbol
_atom_site_fract_x
_atom_site_fract_y
_atom_site_fract_z
_atom_site_occupancy
Be1 Be 0.000 0.000 0.000 1
Mo1 Mo 0.000 0.500 0.000 1
Ir1 Ir 0.250 0.250 0.500 1

# K2TiHgBr PBEsol optimized geometry
# Calculated volume in Å³ per cell: 228
# Formation energy (no corrections) in eV per atom: 0.353
data_K2TiHgBr
_chemical_formula_sum 'K2 Ti1 Hg1 Br1'
_cell_length_a 5.938
_cell_length_b 5.938
_cell_length_c 6.474
_cell_angle_alpha 90.00
_cell_angle_beta 90.00
_cell_angle_gamma 90.00
_symmetry_space_group_name_H-M 'P 4/m m m'
_symmetry_Int_Tables_number 123
_symmetry_space_group_name_Hall '-P 4 2'
loop_
_atom_site_label
_atom_site_type_symbol
_atom_site_fract_x
_atom_site_fract_y
_atom_site_fract_z
_atom_site_occupancy
K1 K 0.000 0.500 0.000 1
Ti1 Ti 0.000 0.000 0.500 1
Hg1 Hg 0.500 0.500 0.500 1
Br1 Br 0.500 0.500 0.000 1

# MgZrHg2 PBEsol optimized geometry
# Calculated volume in Å³ per cell: 81
# Calculated formation energy in eV per atom: -0.312
data_MgZrHg2
_chemical_formula_sum 'Mg1 Zr1 Hg2'
_cell_length_a 3.218
_cell_length_b 3.218
_cell_length_c 7.806
_cell_angle_alpha 90.00
_cell_angle_beta 90.00
_cell_angle_gamma 90.00
_symmetry_space_group_name_H-M 'P 4/m m m'
_symmetry_Int_Tables_number 123
_symmetry_space_group_name_Hall '-P 4 2'
loop_
_atom_site_label
_atom_site_type_symbol
_atom_site_fract_x
_atom_site_fract_y
_atom_site_fract_z
_atom_site_occupancy
Mg1 Mg 0.000 0.000 0.000 1
Zr1 Zr 0.000 0.000 0.500 1
Hg1 Hg 0.500 0.500 0.243 1

# YMn2ReW PBEsol optimized geometry
# Calculated volume in Å³ per cell: 101
# Calculated formation energy in eV per atom: 1.809
data_YMn2ReW
_chemical_formula_sum 'Y1 Mn2 Re1 W1'
_cell_length_a 4.450
_cell_length_b 4.450
_cell_length_c 5.123
_cell_angle_alpha 90.00
_cell_angle_beta 90.00
_cell_angle_gamma 90.00
_symmetry_space_group_name_H-M 'P 4/m m m'
_symmetry_Int_Tables_number 123
_symmetry_space_group_name_Hall '-P 4 2'
loop_
_atom_site_label
_atom_site_type_symbol
_atom_site_fract_x
_atom_site_fract_y
_atom_site_fract_z
_atom_site_occupancy
Y1 Y 0.000 0.000 0.000 1
Mn1 Mn 0.000 0.500 0.500 1
Re1 Re 0.000 0.000 0.500 1
W1 W 0.500 0.500 0.000 1

# FeOsAu2 PBEsol optimized geometry
# Calculated volume in Å³ per cell: 241
# Calculated formation energy in eV per atom: 0.607
data_FeOsAu2
_chemical_formula_sum 'Fe4 Os4 Au8'
_cell_length_a 6.226
_cell_length_b 6.226
_cell_length_c 6.226
_cell_angle_alpha 90.00
_cell_angle_beta 90.00
_cell_angle_gamma 90.00
_symmetry_space_group_name_H-M 'F -4 3 m'
_symmetry_Int_Tables_number 216
_symmetry_space_group_name_Hall 'F -4 2 3'
loop_
_atom_site_label
_atom_site_type_symbol
_atom_site_fract_x
_atom_site_fract_y
_atom_site_fract_z
_atom_site_occupancy
Fe1 Fe 0.000 0.000 0.000 1
Os1 Os 0.250 0.250 0.750 1
Au1 Au 0.000 0.000 0.500 1
Au2 Au 0.250 0.250 0.250 1

# LaOs2W PBEsol optimized geometry
# Calculated volume in Å³ per cell: 144
# Calculated formation energy in eV per atom: 0.692
data_LaOs2W
_chemical_formula_sum 'La2 Os4 W2'
_cell_length_a 3.014
_cell_length_b 5.065
_cell_length_c 9.408
_cell_angle_alpha 90.00
_cell_angle_beta 90.00
_cell_angle_gamma 90.00
_symmetry_space_group_name_H-M 'I m m m'
_symmetry_Int_Tables_number 71
_symmetry_space_group_name_Hall '-I 2 2'
loop_
_atom_site_label
_atom_site_type_symbol
_atom_site_fract_x
_atom_site_fract_y
_atom_site_fract_z
_atom_site_occupancy
La1 La 0.000 0.000 0.000 1
Os1 Os 0.000 0.500 0.222 1
W1 W 0.000 0.000 0.500 1

# Mg5Zr PBEsol optimized geometry
# Calculated volume in Å³ per cell: 132
# Calculated formation energy in eV per atom: 0.015
data_Mg5Zr
_chemical_formula_sum 'Mg5 Zr1'
_cell_length_a 3.174
_cell_length_b 3.174
_cell_length_c 13.121
_cell_angle_alpha 90.00
_cell_angle_beta 90.00
_cell_angle_gamma 90.00
_symmetry_space_group_name_H-M 'P 4/m m m'
_symmetry_Int_Tables_number 123
_symmetry_space_group_name_Hall '-P 4 2'
loop_
_atom_site_label
_atom_site_type_symbol
_atom_site_fract_x
_atom_site_fract_y
_atom_site_fract_z
_atom_site_occupancy
Mg1 Mg 0.000 0.000 0.000 1
Mg2 Mg 0.000 0.000 0.334 1
Mg3 Mg 0.500 0.500 0.166 1
Zr1 Zr 0.500 0.500 0.500 1

# In2Se PBEsol optimized geometry
# Calculated volume in Å³ per cell: 160
# Formation energy (no corrections) in eV per atom: -0.273
data_In2Se
_chemical_formula_sum 'In4 Se2'
_cell_length_a 4.0321
_cell_length_b 4.0321
_cell_length_c 11.3306
_cell_angle_alpha 90.00
_cell_angle_beta 90.00
_cell_angle_gamma 120.00
_symmetry_space_group_name_H-M 'P 63/m m c'
_symmetry_Int_Tables_number 194
_symmetry_space_group_name_Hall '-P 6c 2c'
loop_
_atom_site_label
_atom_site_type_symbol
_atom_site_fract_x
_atom_site_fract_y
_atom_site_fract_z
_atom_site_occupancy
In1 In 0.3333 0.6667 0.0932 1
Se1 Se 0.0000 0.0000 0.2500 1

# GeRuSeBr2 PBEsol optimized geometry
# Calculated volume in Å³ per cell: 130
# Formation energy (no corrections) in eV per atom: 0.941
data_GeRuSeBr2
_chemical_formula_sum 'Ge1 Ru1 Se1 Br2'
_cell_length_a 5.104
_cell_length_b 5.104
_cell_length_c 4.974
_cell_angle_alpha 90.00
_cell_angle_beta 90.00
_cell_angle_gamma 90.00
_symmetry_space_group_name_H-M 'P 4/m m m'
_symmetry_Int_Tables_number 123
_symmetry_space_group_name_Hall '-P 4 2'
loop_
_atom_site_label
_atom_site_type_symbol
_atom_site_fract_x
_atom_site_fract_y
_atom_site_fract_z
_atom_site_occupancy
Ge1 Ge 0.000 0.000 0.000 1
Ru1 Ru 0.500 0.500 0.500 1
Se1 Se 0.000 0.000 0.500 1
Br1 Br 0.000 0.500 0.000 1

# CaReSb2Te PBEsol optimized geometry
# Calculated volume in Å³ per cell: 151
# Formation energy (no corrections) in eV per atom: 0.216
data_CaReSb2Te
_chemical_formula_sum 'Ca1 Re1 Sb2 Te1'
_cell_length_a 4.989
_cell_length_b 4.989
_cell_length_c 6.074
_cell_angle_alpha 90.00
_cell_angle_beta 90.00
_cell_angle_gamma 90.00
_symmetry_space_group_name_H-M 'P 4/m m m'
_symmetry_Int_Tables_number 123
_symmetry_space_group_name_Hall '-P 4 2'
loop_
_atom_site_label
_atom_site_type_symbol
_atom_site_fract_x
_atom_site_fract_y
_atom_site_fract_z
_atom_site_occupancy
Ca1 Ca 0.000 0.000 0.000 1
Re1 Re 0.500 0.500 0.500 1
Sb1 Sb 0.000 0.500 0.500 1
Te1 Te 0.500 0.500 0.000 1

# Fe2PRu PBEsol optimized geometry
# Calculated volume in Å³ per cell: 87
# Calculated formation energy in eV per atom: -0.239
data_Fe2PRu
_chemical_formula_sum 'Fe4 P2 Ru2'
_cell_length_a 2.695
_cell_length_b 4.028
_cell_length_c 8.031
_cell_angle_alpha 90.00
_cell_angle_beta 90.00
_cell_angle_gamma 90.00
_symmetry_space_group_name_H-M 'I m m m'
_symmetry_Int_Tables_number 71
_symmetry_space_group_name_Hall '-I 2 2'
loop_
_atom_site_label
_atom_site_type_symbol
_atom_site_fract_x
_atom_site_fract_y
_atom_site_fract_z
_atom_site_occupancy
Fe1 Fe 0.000 0.000 0.219 1
P1 P 0.000 0.500 0.500 1
Ru1 Ru 0.000 0.500 0.000 1

# K2As PBEsol optimized geometry
# Calculated volume in Å³ per cell: 395
# Calculated formation energy in eV per atom: -0.338
data_K2As
_chemical_formula_sum 'K8 As4'
_cell_length_a 9.689
_cell_length_b 5.582
_cell_length_c 7.994
_cell_angle_alpha 90.00
_cell_angle_beta 113.84
_cell_angle_gamma 90.00
_symmetry_space_group_name_H-M 'C 1 2/m 1'
_symmetry_Int_Tables_number 12
_symmetry_space_group_name_Hall '-C 2y'
loop_
_atom_site_label
_atom_site_type_symbol
_atom_site_fract_x
_atom_site_fract_y
_atom_site_fract_z
_atom_site_occupancy
K1 K 0.138 0.000 0.414 1
K2 K 0.203 0.500 0.112 1
As1 As 0.059 0.500 0.675 1

# LaMnMo2 PBEsol optimized geometry
# Calculated volume in Å³ per cell: 154
# Calculated formation energy in eV per atom: 0.578
data_LaMnMo2
_chemical_formula_sum 'La2 Mn2 Mo4'
_cell_length_a 9.107
_cell_length_b 3.146
_cell_length_c 5.709
_cell_angle_alpha 90.00
_cell_angle_beta 109.69
_cell_angle_gamma 90.00
_symmetry_space_group_name_H-M 'C 1 m 1'
_symmetry_Int_Tables_number 8
_symmetry_space_group_name_Hall 'C -2y'
loop_
_atom_site_label
_atom_site_type_symbol
_atom_site_fract_x
_atom_site_fract_y
_atom_site_fract_z
_atom_site_occupancy
La1 La 0.000 0.000 0.000 1
Mn1 Mn 0.244 0.000 0.641 1
Mo1 Mo 0.032 0.500 0.534 1
Mo2 Mo 0.298 0.500 0.365 1